Crystalline TcP at its relaxed geometry, computed with PBE.

Cell lengths 3.295, 3.295, 6.059 Å; angles 90.00, 90.00, 120.00 degrees
Sites, in units of the cell vectors:
Tc1 0.000 0.000 0.000
Tc2 0.000 0.000 0.500
P1 0.333 0.667 0.250
P2 0.667 0.333 0.750

Values from the calculation:
Space group: P6_3/mmc (194)
ΔH_f (0 K): -0.395 eV per atom
E: -8.283 eV per atom


Crystalline TcP at its relaxed geometry, computed with PBE.

Cell lengths 4.235, 4.235, 7.349 Å; angles 90.00, 90.00, 120.00 degrees
Sites, in units of the cell vectors:
Tc1 0.333 0.667 0.077
Tc2 0.667 0.333 0.577
Tc3 0.667 0.333 0.923
Tc4 0.333 0.667 0.423
P1 0.000 0.000 0.250
P2 0.000 0.000 0.750
P3 0.333 0.667 0.750
P4 0.667 0.333 0.250

Values from the calculation:
Space group: P6_3/mmc (194)
ΔH_f (0 K): 0.361 eV per atom
E: -7.527 eV per atom


Crystalline Tc5P at its relaxed geometry, computed with PBE.

Cell lengths 4.874, 4.874, 4.749 Å; angles 90.00, 90.00, 120.00 degrees
Sites, in units of the cell vectors:
Tc1 0.333 0.667 0.000
Tc2 0.667 0.333 0.000
Tc3 0.500 0.000 0.500
Tc4 0.000 0.500 0.500
Tc5 0.500 0.500 0.500
P1 0.000 0.000 0.000

Values from the calculation:
Space group: P6/mmm (191)
ΔH_f (0 K): 0.708 eV per atom
E: -8.832 eV per atom